# LiHfBr5

A geometry-optimized LiHfBr5 structure (PBE-GGA, Alexandria).

Geometry as POSCAR:
```
LiHfBr5
1.0
5.2061 -5.2935 0.0000
5.2061 5.2935 0.0000
-5.0423 0.0000 8.8531
Li Hf Br
2 2 10
Direct
0.1236 0.8764 0.7500
0.8764 0.1236 0.2500
0.0000 0.5000 0.0000
0.5000 0.0000 0.5000
0.1600 0.1898 0.9703
0.1659 0.5871 0.8390
0.1898 0.1600 0.4703
0.3258 0.6742 0.2500
0.4129 0.8341 0.6610
0.5871 0.1659 0.3390
0.6742 0.3258 0.7500
0.8102 0.8400 0.5297
0.8341 0.4129 0.1610
0.8400 0.8102 0.0297
```

- E_form (uncorrected) (eV/atom) = -1.3795
- Fermi-level density of states (states/eV per cell) = 0.0
- total magnetic moment (μB/cell) = 0.0
- E_tot (eV/atom) = -4.270